VASP calculation (PBE) on a geometry-optimized Pm2As4IrRh3 structure.

Values from the calculation:
ρ, g/cm3: 9.9
Fermi-level density of states, states/eV/f.u.: 5.595

a b c (Å): 4.2611 4.2611 10.1159
angles (deg): 90.00 90.00 90.00
Space group P-4m2 (No. 115)
Unique sites:
Pm 0.0000 0.5000 0.2481 x2
As 0.0000 0.0000 0.0000 x1
As 0.0000 0.5000 0.6383 x2
As 0.5000 0.5000 0.0000 x1
Ir 0.0000 0.0000 0.5000 x1
Rh 0.0000 0.5000 0.8771 x2
Rh 0.5000 0.5000 0.5000 x1

VASP calculation (PBE) on a geometry-optimized ScCdAg3 structure.

Values from the calculation:
ρ, g/cm3: 6.1
Excess energy over the best structure of this formula in the dataset, eV/f.u.: 3.78
Fermi-level density of states, states/eV/f.u.: 4.605

a b c (Å): 5.0661 5.0661 5.0661
angles (deg): 90.00 90.00 90.00
Space group Pm-3m (No. 221)
Unique sites:
Sc 0.0000 0.0000 0.0000 x1
Cd 0.5000 0.5000 0.5000 x1
Ag 0.0000 0.5000 0.5000 x3

no.,calculated formation energy (meV per atom)
1,-874
2,577